The following is a DFT calculation (PBE-GGA) of a relaxed Rb3Hg2 crystal.

Formation energy in eV/atom: -0.18
Symmetry: Immm (71)
Relative energy among the computed polymorphs in meV/atom: 0

Unit cell a=5.5497 b=7.4897 c=7.4897 alpha=66.05 beta=68.25 gamma=68.25
With the nearest neighbours (Å) after each atom.
Sites, in units of the cell vectors:
Rb 0.2020 0.2980 0.2980  6 Hg 3.89-4.23, 2 Rb 4.36
Rb 0.0000 0.0000 0.0000  4 Hg 3.78
Rb 0.7980 0.7020 0.7020  6 Hg 3.89-4.23, 2 Rb 4.36
Hg 0.5000 0.3147 0.6853  1 Hg 3.02
Hg 0.5000 0.6853 0.3147  1 Hg 3.02